P:
KZrRe2: relaxed, PBE-GGA.

a = 2.814 Å, b = 2.814 Å, c = 10.489 Å
α = 90.00°, β = 90.00°, γ = 110.38°
Positions (direct):
K 0.000 0.000 0.000
Zr 0.000 0.000 0.500
Re 0.500 0.500 0.282
Re 0.500 0.500 0.718

Values from the calculation:
Symmetry ... Cmmm

---

Q:
KZrRe2: relaxed, PBE-GGA.

a = 4.798 Å, b = 4.798 Å, c = 4.798 Å
α = 60.00°, β = 60.00°, γ = 60.00°
Positions (direct):
K 0.000 0.000 0.000
Zr 0.500 0.500 0.500
Re 0.250 0.250 0.250
Re 0.750 0.750 0.750

Values from the calculation:
Symmetry ... Fm-3m

---

R:
KZrRe2: relaxed, PBE-GGA.

a = 11.215 Å, b = 11.215 Å, c = 11.215 Å
α = 14.53°, β = 14.53°, γ = 14.53°
Positions (direct):
K 0.000 0.000 0.000
Zr 0.500 0.500 0.500
Re 0.243 0.243 0.243
Re 0.757 0.757 0.757

Values from the calculation:
Symmetry ... R-3m

---

S:
KZrRe2: relaxed, PBE-GGA.

a = 4.277 Å, b = 4.277 Å, c = 8.707 Å
α = 93.69°, β = 93.69°, γ = 41.65°
Positions (direct):
K 0.000 0.000 0.000
Zr 0.780 0.780 0.394
Re 0.235 0.235 0.693
Re 0.506 0.506 0.583

Values from the calculation:
Symmetry ... Cm

---

The relative energies come out as P 0.000; Q 0.865; R 0.169; S 0.049, with values in eV/atom.

---

P:
KZr3Re: relaxed, PBE-GGA.

a = 4.749 Å, b = 4.749 Å, c = 4.749 Å
α = 90.00°, β = 90.00°, γ = 90.00°
Positions (direct):
K 0.000 0.000 0.000
Zr 0.000 0.000 0.500
Zr 0.000 0.500 0.000
Zr 0.500 0.000 0.000
Re 0.500 0.500 0.500

Values from the calculation:
Symmetry ... Pm-3m

---

Q:
KZr3Re: relaxed, PBE-GGA.

a = 5.238 Å, b = 5.238 Å, c = 5.238 Å
α = 90.00°, β = 90.00°, γ = 90.00°
Positions (direct):
K 0.000 0.000 0.000
Zr 0.000 0.500 0.500
Zr 0.500 0.000 0.500
Zr 0.500 0.500 0.000
Re 0.500 0.500 0.500

Values from the calculation:
Symmetry ... Pm-3m

---

The relative energies come out as P 1.671; Q 0.000, with values in eV/atom.

---

P:
KRh3: relaxed, PBE-GGA.

a = 4.210 Å, b = 5.415 Å, c = 7.535 Å
α = 90.00°, β = 90.00°, γ = 90.00°
Positions (direct):
K 0.250 0.250 0.072
K 0.750 0.750 0.928
Rh 0.250 0.507 0.613
Rh 0.250 0.750 0.319
Rh 0.250 0.993 0.613
Rh 0.750 0.007 0.387
Rh 0.750 0.250 0.681
Rh 0.750 0.493 0.387

Values from the calculation:
Symmetry ... Pmmn

---

Q:
KRh3: relaxed, PBE-GGA.

a = 4.097 Å, b = 4.097 Å, c = 4.097 Å
α = 90.00°, β = 90.00°, γ = 90.00°
Positions (direct):
K 0.000 0.000 0.000
Rh 0.000 0.500 0.500
Rh 0.500 0.000 0.500
Rh 0.500 0.500 0.000

Values from the calculation:
Symmetry ... Pm-3m

---

R:
KRh3: relaxed, PBE-GGA.

a = 4.918 Å, b = 4.918 Å, c = 4.918 Å
α = 130.16°, β = 130.16°, γ = 73.15°
Positions (direct):
K 0.000 0.000 0.000
Rh 0.250 0.750 0.500
Rh 0.500 0.500 0.000
Rh 0.750 0.250 0.500

Values from the calculation:
Symmetry ... I4/mmm

---

S:
KRh3: relaxed, PBE-GGA.

a = 4.646 Å, b = 4.646 Å, c = 6.561 Å
α = 95.56°, β = 95.56°, γ = 34.57°
Positions (direct):
K 0.000 0.000 0.000
Rh 0.234 0.234 0.662
Rh 0.500 0.500 0.500
Rh 0.766 0.766 0.338

Values from the calculation:
Symmetry ... C2/m

---

The relative energies come out as P 0.013; Q 0.477; R 0.409; S 0.000, with values in eV/atom.

---

P:
KRh3: relaxed, PBE-GGA.

a = 2.814 Å, b = 2.814 Å, c = 8.980 Å
α = 90.00°, β = 90.00°, γ = 90.00°
Positions (direct):
K 0.000 0.000 0.000
Rh 0.000 0.000 0.500
Rh 0.500 0.500 0.302
Rh 0.500 0.500 0.698

Values from the calculation:
Symmetry ... P4/mmm

---

Q:
KRh3: relaxed, PBE-GGA.

a = 2.753 Å, b = 3.765 Å, c = 7.588 Å
α = 90.00°, β = 90.00°, γ = 90.00°
Positions (direct):
K 0.000 0.000 0.000
Rh 0.000 0.000 0.500
Rh 0.500 0.500 0.328
Rh 0.500 0.500 0.672

Values from the calculation:
Symmetry ... Pmmm

---

R:
KRh3: relaxed, PBE-GGA.

a = 5.631 Å, b = 5.631 Å, c = 4.620 Å
α = 90.00°, β = 90.00°, γ = 99.88°
Positions (direct):
K 0.059 0.941 0.750
K 0.941 0.059 0.250
Rh 0.115 0.541 0.250
Rh 0.421 0.579 0.750
Rh 0.459 0.885 0.250
Rh 0.541 0.115 0.750
Rh 0.579 0.421 0.250
Rh 0.885 0.459 0.750

Values from the calculation:
Symmetry ... Cmcm

---

The relative energies come out as P 0.000; Q 0.057; R 0.240, with values in eV/atom.

---

P:
KRh3: relaxed, PBE-GGA.

a = 2.773 Å, b = 2.773 Å, c = 10.019 Å
α = 90.00°, β = 90.00°, γ = 118.50°
Positions (direct):
K 0.000 0.000 0.000
Rh 0.000 0.000 0.500
Rh 0.500 0.500 0.278
Rh 0.500 0.500 0.722

Values from the calculation:
Symmetry ... Cmmm

---

Q:
KRh3: relaxed, PBE-GGA.

a = 5.153 Å, b = 5.153 Å, c = 2.708 Å
α = 90.00°, β = 90.00°, γ = 112.00°
Positions (direct):
K 0.000 0.000 0.000
Rh 0.000 0.500 0.500
Rh 0.500 0.000 0.500
Rh 0.500 0.500 0.000

Values from the calculation:
Symmetry ... Cmmm

---

R:
KRh3: relaxed, PBE-GGA.

a = 5.876 Å, b = 5.876 Å, c = 5.876 Å
α = 152.89°, β = 129.71°, γ = 58.06°
Positions (direct):
K 0.000 0.000 0.000
Rh 0.281 0.781 0.500
Rh 0.500 0.500 0.000
Rh 0.719 0.219 0.500

Values from the calculation:
Symmetry ... Immm

---

S:
KRh3: relaxed, PBE-GGA.

a = 10.031 Å, b = 10.031 Å, c = 10.031 Å
α = 16.12°, β = 16.12°, γ = 16.12°
Positions (direct):
K 0.000 0.000 0.000
Rh 0.239 0.239 0.239
Rh 0.500 0.500 0.500
Rh 0.761 0.761 0.761

Values from the calculation:
Symmetry ... R-3m

---

The relative energies come out as P 0.079; Q 0.212; R 0.123; S 0.000, with values in eV/atom.

---

P:
KRh3: relaxed, PBE-GGA.

a = 4.618 Å, b = 4.618 Å, c = 4.618 Å
α = 60.00°, β = 60.00°, γ = 60.00°
Positions (direct):
K 0.000 0.000 0.000
Rh 0.250 0.250 0.250
Rh 0.500 0.500 0.500
Rh 0.750 0.750 0.750

Values from the calculation:
Symmetry ... Fm-3m

---

Q:
KRh3: relaxed, PBE-GGA.

a = 5.222 Å, b = 5.222 Å, c = 5.222 Å
α = 90.00°, β = 90.00°, γ = 90.00°
Positions (direct):
K 0.000 0.000 0.000
K 0.500 0.500 0.500
Rh 0.000 0.250 0.500
Rh 0.000 0.750 0.500
Rh 0.250 0.500 0.000
Rh 0.500 0.000 0.250
Rh 0.500 0.000 0.750
Rh 0.750 0.500 0.000

Values from the calculation:
Symmetry ... Pm-3n

---

The relative energies come out as P 0.000; Q 0.176, with values in eV/atom.

---

P:
KRh4: relaxed, PBE-GGA.

a = 4.630 Å, b = 4.630 Å, c = 4.630 Å
α = 90.00°, β = 90.00°, γ = 90.00°
Positions (direct):
K 0.000 0.000 0.000
Rh 0.000 0.000 0.500
Rh 0.000 0.500 0.000
Rh 0.500 0.000 0.000
Rh 0.500 0.500 0.500

Values from the calculation:
Symmetry ... Pm-3m

---

Q:
KRh4: relaxed, PBE-GGA.

a = 6.150 Å, b = 6.150 Å, c = 6.150 Å
α = 140.05°, β = 140.05°, γ = 57.78°
Positions (direct):
K 0.000 0.000 0.000
Rh 0.250 0.750 0.500
Rh 0.389 0.389 0.000
Rh 0.611 0.611 0.000
Rh 0.750 0.250 0.500

Values from the calculation:
Symmetry ... I4/mmm

---

The relative energies come out as P 1.893; Q 0.000, with values in eV/atom.

---

P:
KRuRh3: relaxed, PBE-GGA.

a = 4.555 Å, b = 4.555 Å, c = 4.555 Å
α = 90.00°, β = 90.00°, γ = 90.00°
Positions (direct):
K 0.000 0.000 0.000
Ru 0.500 0.500 0.500
Rh 0.000 0.000 0.500
Rh 0.000 0.500 0.000
Rh 0.500 0.000 0.000

Values from the calculation:
Symmetry ... Pm-3m

---

Q:
KRuRh3: relaxed, PBE-GGA.

a = 4.779 Å, b = 4.779 Å, c = 4.779 Å
α = 90.00°, β = 90.00°, γ = 90.00°
Positions (direct):
K 0.000 0.000 0.000
Ru 0.500 0.500 0.500
Rh 0.000 0.500 0.500
Rh 0.500 0.000 0.500
Rh 0.500 0.500 0.000

Values from the calculation:
Symmetry ... Pm-3m

---

The relative energies come out as P 1.665; Q 0.000, with values in eV/atom.